# ReNi2Au PBE-GGA relaxed
data_ReNi2Au
_space_group_name_H-M_alt 'P m m 2'
_space_group_IT_number 25
_cell_length_a 2.669
_cell_length_b 3.645
_cell_length_c 5.679
_cell_angle_alpha 90.00
_cell_angle_beta 90.00
_cell_angle_gamma 90.00
loop_
_space_group_symop_operation_xyz
'x,y,z'
'-x,-y,z'
'-x,y,z'
'x,-y,z'
loop_
_atom_site_label
_atom_site_fract_x
_atom_site_fract_y
_atom_site_fract_z
Re1 0.000 0.000 0.000
Ni1 0.000 0.000 0.572
Ni2 0.500 0.500 0.795
Au1 0.500 0.500 0.311
# Energy relative to the elements in kJ/mol of atoms: 23.21
# ΔE to the lowest computed polymorph in eV per formula unit: 0.82



# Re4NiAu PBE-GGA relaxed
data_Re4NiAu
_space_group_name_H-M_alt 'F -4 3 m'
_space_group_IT_number 216
_space_group_name_Hall 'F -4 2 3'
_cell_length_a 7.311
_cell_length_b 7.311
_cell_length_c 7.311
_cell_angle_alpha 90.00
_cell_angle_beta 90.00
_cell_angle_gamma 90.00
loop_
_atom_site_label
_atom_site_fract_x
_atom_site_fract_y
_atom_site_fract_z
Re1 0.125 0.125 0.125
Ni1 0.250 0.250 0.750
Au1 0.000 0.000 0.500
# Energy relative to the elements in kJ/mol of atoms: 70.06



# ReNi2Au PBE-GGA relaxed
data_ReNi2Au
_space_group_name_H-M_alt 'P m m m'
_space_group_IT_number 47
_cell_length_a 2.688
_cell_length_b 3.625
_cell_length_c 5.628
_cell_angle_alpha 90.00
_cell_angle_beta 90.00
_cell_angle_gamma 90.00
loop_
_space_group_symop_operation_xyz
'x,y,z'
'-x,-y,-z'
'-x,-y,z'
'x,y,-z'
'x,-y,-z'
'-x,y,z'
'-x,y,-z'
'x,-y,z'
loop_
_atom_site_label
_atom_site_fract_x
_atom_site_fract_y
_atom_site_fract_z
Re1 0.000 0.000 0.000
Ni1 0.500 0.500 0.219
Au1 0.000 0.000 0.500
# Energy relative to the elements in kJ/mol of atoms: 12.14
# ΔE to the lowest computed polymorph in eV per formula unit: 0.36



# ReNi2Au PBE-GGA relaxed
data_ReNi2Au
_space_group_name_H-M_alt 'F -4 3 m'
_space_group_IT_number 216
_space_group_name_Hall 'F -4 2 3'
_cell_length_a 6.052
_cell_length_b 6.052
_cell_length_c 6.052
_cell_angle_alpha 90.00
_cell_angle_beta 90.00
_cell_angle_gamma 90.00
loop_
_atom_site_label
_atom_site_fract_x
_atom_site_fract_y
_atom_site_fract_z
Re1 0.000 0.000 0.000
Ni1 0.000 0.000 0.500
Ni2 0.250 0.250 0.250
Au1 0.250 0.250 0.750
# Energy relative to the elements in kJ/mol of atoms: 45.90
# ΔE to the lowest computed polymorph in eV per formula unit: 1.76



# ReNi2Au PBE-GGA relaxed
data_ReNi2Au
_space_group_name_H-M_alt 'P 1 m 1'
_space_group_IT_number 6
_cell_length_a 2.652
_cell_length_b 4.110
_cell_length_c 5.147
_cell_angle_alpha 90.00
_cell_angle_beta 104.86
_cell_angle_gamma 90.00
loop_
_space_group_symop_operation_xyz
'x,y,z'
'x,-y,z'
loop_
_atom_site_label
_atom_site_fract_x
_atom_site_fract_y
_atom_site_fract_z
Re1 0.000 0.000 0.000
Ni1 0.270 0.000 0.546
Ni2 0.411 0.500 0.813
Au1 0.660 0.500 0.325
# Energy relative to the elements in kJ/mol of atoms: 20.59
# ΔE to the lowest computed polymorph in eV per formula unit: 0.71



# ReNiAu4 PBE-GGA relaxed
data_ReNiAu4
_space_group_name_H-M_alt 'F -4 3 m'
_space_group_IT_number 216
_space_group_name_Hall 'F -4 2 3'
_cell_length_a 7.596
_cell_length_b 7.596
_cell_length_c 7.596
_cell_angle_alpha 90.00
_cell_angle_beta 90.00
_cell_angle_gamma 90.00
loop_
_atom_site_label
_atom_site_fract_x
_atom_site_fract_y
_atom_site_fract_z
Re1 0.000 0.000 0.000
Ni1 0.250 0.250 0.250
Au1 0.125 0.125 0.625
# Energy relative to the elements in kJ/mol of atoms: 85.65



# ReNi2Au PBE-GGA relaxed
data_ReNi2Au
_space_group_name_H-M_alt 'I -4 m 2'
_space_group_IT_number 119
_space_group_name_Hall 'I -4 -2'
_cell_length_a 3.729
_cell_length_b 3.729
_cell_length_c 7.797
_cell_angle_alpha 90.00
_cell_angle_beta 90.00
_cell_angle_gamma 90.00
loop_
_atom_site_label
_atom_site_fract_x
_atom_site_fract_y
_atom_site_fract_z
Re1 0.000 0.000 0.000
Ni1 0.000 0.000 0.500
Ni2 0.000 0.500 0.250
Au1 0.000 0.500 0.750
# Energy relative to the elements in kJ/mol of atoms: 33.07
# ΔE to the lowest computed polymorph in eV per formula unit: 1.23



# ReNi2Au PBE-GGA relaxed
data_ReNi2Au
_space_group_name_H-M_alt 'P 4 m m'
_space_group_IT_number 99
_cell_length_a 2.717
_cell_length_b 2.717
_cell_length_c 7.384
_cell_angle_alpha 90.00
_cell_angle_beta 90.00
_cell_angle_gamma 90.00
loop_
_space_group_symop_operation_xyz
'x,y,z'
'-y,x,z'
'-x,-y,z'
'y,-x,z'
'-x,y,z'
'y,x,z'
'x,-y,z'
'-y,-x,z'
loop_
_atom_site_label
_atom_site_fract_x
_atom_site_fract_y
_atom_site_fract_z
Re1 0.000 0.000 0.000
Ni1 0.000 0.000 0.557
Ni2 0.500 0.500 0.773
Au1 0.500 0.500 0.295
# Energy relative to the elements in kJ/mol of atoms: 19.80
# ΔE to the lowest computed polymorph in eV per formula unit: 0.68



# ReNi2Au PBE-GGA relaxed
data_ReNi2Au
_space_group_name_H-M_alt 'P 4/m m m'
_space_group_IT_number 123
_space_group_name_Hall '-P 4 2'
_cell_length_a 2.703
_cell_length_b 2.703
_cell_length_c 7.482
_cell_angle_alpha 90.00
_cell_angle_beta 90.00
_cell_angle_gamma 90.00
loop_
_atom_site_label
_atom_site_fract_x
_atom_site_fract_y
_atom_site_fract_z
Re1 0.000 0.000 0.000
Ni1 0.500 0.500 0.234
Au1 0.000 0.000 0.500
# Energy relative to the elements in kJ/mol of atoms: 3.49
# ΔE to the lowest computed polymorph in eV per formula unit: 0.00



# ReNi2Au PBE-GGA relaxed
data_ReNi2Au
_space_group_name_H-M_alt 'C 1 m 1'
_space_group_IT_number 8
_cell_length_a 8.942
_cell_length_b 2.672
_cell_length_c 4.633
_cell_angle_alpha 90.00
_cell_angle_beta 100.41
_cell_angle_gamma 90.00
loop_
_space_group_symop_operation_xyz
'x,y,z'
'x,-y,z'
'x+1/2,y+1/2,z'
'x+1/2,-y+1/2,z'
loop_
_atom_site_label
_atom_site_fract_x
_atom_site_fract_y
_atom_site_fract_z
Re1 0.000 0.000 0.000
Ni1 0.016 0.500 0.536
Ni2 0.256 0.000 0.802
Au1 0.260 0.500 0.302
# Energy relative to the elements in kJ/mol of atoms: 21.43
# ΔE to the lowest computed polymorph in eV per formula unit: 0.74



# ReNi2Au PBE-GGA relaxed
data_ReNi2Au
_space_group_name_H-M_alt 'P m m m'
_space_group_IT_number 47
_cell_length_a 2.698
_cell_length_b 4.452
_cell_length_c 4.734
_cell_angle_alpha 90.00
_cell_angle_beta 90.00
_cell_angle_gamma 90.00
loop_
_space_group_symop_operation_xyz
'x,y,z'
'-x,-y,-z'
'-x,-y,z'
'x,y,-z'
'x,-y,-z'
'-x,y,z'
'-x,y,-z'
'x,-y,z'
loop_
_atom_site_label
_atom_site_fract_x
_atom_site_fract_y
_atom_site_fract_z
Re1 0.000 0.000 0.000
Ni1 0.000 0.500 0.500
Ni2 0.500 0.500 0.000
Au1 0.500 0.000 0.500
# Energy relative to the elements in kJ/mol of atoms: 46.33
# ΔE to the lowest computed polymorph in eV per formula unit: 1.78



# Re2Ni2Au PBE-GGA relaxed
data_Re2Ni2Au
_space_group_name_H-M_alt 'P 4/m b m'
_space_group_IT_number 127
_space_group_name_Hall '-P 4 2ab'
_cell_length_a 7.318
_cell_length_b 7.318
_cell_length_c 2.638
_cell_angle_alpha 90.00
_cell_angle_beta 90.00
_cell_angle_gamma 90.00
loop_
_atom_site_label
_atom_site_fract_x
_atom_site_fract_y
_atom_site_fract_z
Re1 0.175 0.325 0.000
Ni1 0.118 0.618 0.500
Au1 0.000 0.000 0.500
# Energy relative to the elements in kJ/mol of atoms: 36.15



# ReNiAu PBE-GGA relaxed
data_ReNiAu
_space_group_name_H-M_alt 'I 4 m m'
_space_group_IT_number 107
_space_group_name_Hall 'I 4 -2'
_cell_length_a 2.736
_cell_length_b 2.736
_cell_length_c 11.729
_cell_angle_alpha 90.00
_cell_angle_beta 90.00
_cell_angle_gamma 90.00
loop_
_atom_site_label
_atom_site_fract_x
_atom_site_fract_y
_atom_site_fract_z
Re1 0.000 0.000 0.000
Ni1 0.000 0.000 0.361
Au1 0.000 0.000 0.688
# Energy relative to the elements in kJ/mol of atoms: 23.50
# ΔE to the lowest computed polymorph in eV per formula unit: 0.00



# ReNi2Au PBE-GGA relaxed
data_ReNi2Au
_space_group_name_H-M_alt 'R -3 m'
_space_group_IT_number 166
_space_group_name_Hall '-R 3 2"'
_cell_length_a 2.7371
_cell_length_b 2.7371
_cell_length_c 25.7919
_cell_angle_alpha 90.00
_cell_angle_beta 90.00
_cell_angle_gamma 120.00
loop_
_atom_site_label
_atom_site_fract_x
_atom_site_fract_y
_atom_site_fract_z
Re1 0.0000 0.0000 0.0000
Ni1 0.0000 0.0000 0.2545
Au1 0.0000 0.0000 0.5000
# Energy relative to the elements in kJ/mol of atoms: 14.06
# ΔE to the lowest computed polymorph in eV per formula unit: 0.44



# ScReNiAu2 PBE-GGA relaxed
data_ScReNiAu2
_space_group_name_H-M_alt 'P 4/m m m'
_space_group_IT_number 123
_space_group_name_Hall '-P 4 2'
_cell_length_a 5.051
_cell_length_b 5.051
_cell_length_c 4.774
_cell_angle_alpha 90.00
_cell_angle_beta 90.00
_cell_angle_gamma 90.00
loop_
_atom_site_label
_atom_site_fract_x
_atom_site_fract_y
_atom_site_fract_z
Sc1 0.000 0.000 0.000
Re1 0.000 0.000 0.500
Ni1 0.500 0.500 0.000
Au1 0.000 0.500 0.500
# Energy relative to the elements in kJ/mol of atoms: 116.04